[1]
# PmDy6Sc

PmDy6Sc after structural relaxation (PBE, the Alexandria database).

E_form   0.035 eV per atom

abc: 4.993 4.993 9.927
angles: 90.00 90.00 90.00
Space group P4/mmm (No. 123)
One atom of each set of equivalent atoms:
1 Pm 0.000 0.000 0.000 x1
2 Dy 0.000 0.500 0.257 x4
3 Dy 0.500 0.500 0.000 x1
4 Dy 0.500 0.500 0.500 x1
5 Sc 0.000 0.000 0.500 x1



[2]
# CoRe2Tc

CoRe2Tc after structural relaxation (PBE, the Alexandria database).

E_form   0.093 eV per atom

abc: 4.673 2.702 4.686
angles: 90.00 109.88 90.00
Space group P2/m (No. 10)
One atom of each set of equivalent atoms:
1 Co 0.000 0.000 0.000 x1
2 Re 0.500 0.000 0.500 x1
3 Re 0.500 0.500 0.000 x1
4 Tc 0.000 0.500 0.500 x1



[3]
# Cd2AgRh

Cd2AgRh after structural relaxation (PBE, the Alexandria database).

E_form   -0.078 eV per atom

abc: 6.594 6.594 6.594
angles: 90.00 90.00 90.00
Space group Fm-3m (No. 225)
One atom of each set of equivalent atoms:
1 Cd 0.250 0.250 0.250 x8
2 Ag 0.000 0.000 0.000 x4
3 Rh 0.000 0.000 0.500 x4



[4]
# ZrTlTe3

ZrTlTe3 after structural relaxation (PBE, the Alexandria database).

ΔE_f (raw)   -530.2 meV/atom

abc: 13.887 14.820 6.527
angles: 90.00 94.06 90.00
Space group C2/c (No. 15)
One atom of each set of equivalent atoms:
1 Zr 0.000 0.067 0.250 x4
2 Zr 0.000 0.214 0.750 x4
3 Tl 0.144 0.419 0.997 x8
4 Te 0.099 0.342 0.518 x8
5 Te 0.132 0.070 0.618 x8
6 Te 0.136 0.198 0.112 x8



[5]
# CoP2Pb2

CoP2Pb2 after structural relaxation (PBE, the Alexandria database).

E_form   0.079 eV per atom

abc: 5.958 5.958 5.647
angles: 90.00 90.00 90.00
Space group P4/mbm (No. 127)
One atom of each set of equivalent atoms:
1 Co 0.000 0.000 0.000 x2
2 P 0.135 0.365 0.000 x4
3 Pb 0.195 0.695 0.500 x4



[6]
# Y3Cu6Sn5

Y3Cu6Sn5 after structural relaxation (PBE, the Alexandria database).

E_form   -0.403 eV per atom

abc: 4.332 9.960 12.801
angles: 90.00 90.00 90.00
Space group Immm (No. 71)
One atom of each set of equivalent atoms:
1 Y 0.000 0.000 0.000 x2
2 Y 0.000 0.000 0.311 x4
3 Cu 0.000 0.191 0.500 x4
4 Cu 0.000 0.285 0.126 x8
5 Sn 0.000 0.352 0.336 x8
6 Sn 0.000 0.500 0.000 x2



[7]
# AcLaYHo

AcLaYHo after structural relaxation (PBE, the Alexandria database).

E_form   0.051 eV per atom

abc: 3.736 3.736 10.376
angles: 90.00 90.00 90.00
Space group P4mm (No. 99)
One atom of each set of equivalent atoms:
1 Ac 0.000 0.000 0.000 x1
2 La 0.500 0.500 0.734 x1
3 Y 0.500 0.500 0.263 x1
4 Ho 0.000 0.000 0.489 x1



[8]
# Ga6NiIr5

Ga6NiIr5 after structural relaxation (PBE, the Alexandria database).

E_form   -0.379 eV per atom

abc: 4.384 5.896 6.728
angles: 90.00 103.31 90.00
Space group P2/m (No. 10)
One atom of each set of equivalent atoms:
1 Ga 0.000 0.245 0.000 x2
2 Ga 0.326 0.248 0.671 x4
3 Ni 0.500 0.000 0.000 x1
4 Ir 0.175 0.500 0.335 x2
5 Ir 0.178 0.000 0.330 x2
6 Ir 0.500 0.500 0.000 x1



[9]
# Tb2TmAg4

Tb2TmAg4 after structural relaxation (PBE, the Alexandria database).

E_form   -0.123 eV per atom

abc: 5.255 5.255 12.782
angles: 90.00 90.00 90.00
Space group I4/mmm (No. 139)
One atom of each set of equivalent atoms:
1 Tb 0.000 0.000 0.226 x4
2 Tm 0.000 0.000 0.500 x2
3 Ag 0.000 0.500 0.117 x8



[10]
# BeNb2Al

BeNb2Al after structural relaxation (PBE, the Alexandria database).

E_form   -0.221 eV per atom

abc: 7.743 6.308 4.950
angles: 90.00 90.00 90.00
Space group Cmcm (No. 63)
One atom of each set of equivalent atoms:
1 Be 0.000 0.183 0.250 x4
2 Nb 0.188 0.147 0.750 x8
3 Al 0.000 0.500 0.000 x4



[11]
# Pm3HoAs4

Pm3HoAs4 after structural relaxation (PBE, the Alexandria database).

E_form   -1.521 eV per atom

abc: 5.945 5.945 5.945
angles: 90.00 90.00 90.00
Space group Pm-3m (No. 221)
One atom of each set of equivalent atoms:
1 Pm 0.000 0.000 0.500 x3
2 Ho 0.500 0.500 0.500 x1
3 As 0.000 0.000 0.000 x1
4 As 0.000 0.500 0.500 x3



[12]
# YZrRu2F

YZrRu2F after structural relaxation (PBE, the Alexandria database).

ΔE_f (raw)   -128.1 meV/atom

abc: 4.762 4.762 4.039
angles: 90.00 90.00 90.00
Space group P4/mmm (No. 123)
One atom of each set of equivalent atoms:
1 Y 0.000 0.000 0.000 x1
2 Zr 0.500 0.500 0.000 x1
3 Ru 0.000 0.500 0.500 x2
4 F 0.500 0.500 0.500 x1



[13]
# CaNd3Ho2S6

CaNd3Ho2S6 after structural relaxation (PBE, the Alexandria database).

ΔE_f (raw)   -2021.8 meV/atom

abc: 6.871 11.904 7.008
angles: 90.00 108.97 90.00
Space group C2/m (No. 12)
One atom of each set of equivalent atoms:
1 Ca 0.000 0.000 0.000 x2
2 Nd 0.000 0.164 0.500 x4
3 Nd 0.000 0.500 0.500 x2
4 Ho 0.000 0.333 0.000 x4
5 S 0.241 0.500 0.232 x4
6 S 0.247 0.168 0.236 x8



[14]
# TcPWCl2

TcPWCl2 after structural relaxation (PBE, the Alexandria database).

ΔE_f (raw)   1524.7 meV/atom

abc: 4.552 4.552 4.765
angles: 90.00 90.00 90.00
Space group P4/mmm (No. 123)
One atom of each set of equivalent atoms:
1 Tc 0.000 0.000 0.000 x1
2 P 0.000 0.000 0.500 x1
3 W 0.500 0.500 0.500 x1
4 Cl 0.000 0.500 0.000 x2



[15]
# HfTi2CCl

HfTi2CCl after structural relaxation (PBE, the Alexandria database).

ΔE_f (raw)   1288.5 meV/atom

abc: 5.099 5.099 4.142
angles: 90.00 90.00 90.00
Space group P4/mmm (No. 123)
One atom of each set of equivalent atoms:
1 Hf 0.000 0.000 0.000 x1
2 Ti 0.000 0.500 0.000 x2
3 C 0.000 0.000 0.500 x1
4 Cl 0.500 0.500 0.500 x1



[16]
# Cs2SbBr6

Cs2SbBr6 after structural relaxation (PBE, the Alexandria database).

ΔE_f (raw)   -1138.1 meV/atom

abc: 11.210 11.210 11.210
angles: 90.00 90.00 90.00
Space group Fm-3m (No. 225)
One atom of each set of equivalent atoms:
1 Cs 0.250 0.250 0.250 x8
2 Sb 0.000 0.000 0.000 x4
3 Br 0.000 0.000 0.243 x24



[17]
# Mn2AgSb

Mn2AgSb after structural relaxation (PBE, the Alexandria database).

ΔE_f (raw)   223.9 meV/atom

abc: 4.179 4.179 7.882
angles: 90.00 90.00 90.00
Space group I4/mmm (No. 139)
One atom of each set of equivalent atoms:
1 Mn 0.000 0.500 0.250 x4
2 Ag 0.000 0.000 0.000 x2
3 Sb 0.000 0.000 0.500 x2



[18]
# La2Tb2Al

La2Tb2Al after structural relaxation (PBE, the Alexandria database).

E_form   0.343 eV per atom

abc: 4.9216 4.9216 25.7480
angles: 90.00 90.00 120.00
Space group R-3m (No. 166, hexagonal axes)
One atom of each set of equivalent atoms:
1 La 0.0000 0.0000 0.0671 x6
2 Tb 0.0000 0.0000 0.2025 x6
3 Al 0.0000 0.0000 0.5000 x3



[19]
# Li4U3PtSe8

Li4U3PtSe8 after structural relaxation (PBE, the Alexandria database).

ΔE_f (raw)   -1040.7 meV/atom

abc: 13.996 7.697 8.023
angles: 90.00 123.66 90.00
Space group C2/m (No. 12)
One atom of each set of equivalent atoms:
1 Li 0.000 0.000 0.000 x2
2 Li 0.000 0.500 0.000 x2
3 Li 0.250 0.250 0.000 x4
4 U 0.000 0.000 0.500 x2
5 U 0.250 0.250 0.500 x4
6 Pt 0.000 0.500 0.500 x2
7 Se 0.001 0.276 0.263 x8
8 Se 0.218 0.000 0.213 x4
9 Se 0.248 0.000 0.763 x4



[20]
# Cd2Pd12Au5

Cd2Pd12Au5 after structural relaxation (PBE, the Alexandria database).

E_form   -0.029 eV per atom

abc: 12.821 7.592 6.672
angles: 90.00 90.63 90.00
Space group C2/m (No. 12)
One atom of each set of equivalent atoms:
1 Cd 0.000 0.195 0.000 x4
2 Pd 0.057 0.000 0.331 x4
3 Pd 0.094 0.500 0.894 x4
4 Pd 0.123 0.196 0.657 x8
5 Pd 0.158 0.316 0.252 x8
6 Au 0.000 0.500 0.500 x2
7 Au 0.198 0.000 0.996 x4
8 Au 0.235 0.500 0.586 x4



[21]
# DyH8Ir2Pt

DyH8Ir2Pt after structural relaxation (PBE, the Alexandria database).

Total DFT energy (no corrections)   -4.7361 eV per atom

abc: 9.161 4.014 6.053
angles: 90.00 111.16 90.00
Space group C2/m (No. 12)
One atom of each set of equivalent atoms:
1 Dy 0.000 0.000 0.000 x2
2 H 0.128 0.252 0.746 x8
3 H 0.141 0.500 0.042 x4
4 H 0.201 0.000 0.357 x4
5 Ir 0.248 0.500 0.325 x4
6 Pt 0.000 0.500 0.500 x2



[22]
# BaCrSi2

BaCrSi2 after structural relaxation (PBE, the Alexandria database).

ΔE_f (raw)   -11.1 meV/atom

abc: 5.348 5.348 15.089
angles: 90.00 90.00 90.00
Space group I4_1/amd (No. 141, origin choice 2)
One atom of each set of equivalent atoms:
1 Ba 0.000 0.250 0.375 x4
2 Cr 0.000 0.250 0.875 x4
3 Si 0.000 0.000 0.000 x8



[23]
# Cs4Na3Au2

Cs4Na3Au2 after structural relaxation (PBE, the Alexandria database).

E_form   -0.138 eV per atom

abc: 20.197 5.245 8.956
angles: 90.00 107.24 90.00
Space group C2/m (No. 12)
One atom of each set of equivalent atoms:
1 Cs 0.073 0.000 0.342 x4
2 Cs 0.229 0.500 0.186 x4
3 Na 0.000 0.500 0.000 x2
4 Na 0.099 0.500 0.752 x4
5 Au 0.102 0.000 0.938 x4